A relaxed NdHoCr2O8 crystal. Source: Alexandria, functional PBE with a Hubbard U.

Crystal system: tetragonal
Uncorrected energy: -91.7 eV per formula unit
Size of the total moment: 4.000 μB/cell

abc: 7.314 7.314 6.354
angles: 90.00 90.00 90.00
Space group I-4m2 (No. 119)
Symmetry-distinct sites (fractional):
Nd: 0.000 0.000 0.000 [2 per cell]
Ho: 0.000 0.500 0.250 [2 per cell]
Cr: 0.000 0.000 0.500 [2 per cell]
Cr: 0.000 0.500 0.750 [2 per cell]
O: 0.000 0.186 0.332 [8 per cell]
O: 0.000 0.321 0.926 [8 per cell]